(1)
# Nd3Er7Tm | Alexandria | PBE | relaxed
data_Nd3Er7Tm
_chemical_formula_sum 'Nd3 Er7 Tm1'
_symmetry_space_group_name_H-M 'P 1'
_symmetry_Int_Tables_number 1
_cell_length_a 5.484
_cell_length_b 10.117
_cell_length_c 8.823
_cell_angle_alpha 106.64
_cell_angle_beta 128.40
_cell_angle_gamma 90.00
loop_
_symmetry_equiv_pos_as_xyz
'x,y,z'
loop_
_atom_site_label
_atom_site_type_symbol
_atom_site_fract_x
_atom_site_fract_y
_atom_site_fract_z
_atom_site_occupancy
Nd1 Nd 0.285 0.006 0.786 1
Nd2 Nd 0.000 0.500 0.000 1
Nd3 Nd 0.715 0.994 0.214 1
Er1 Er 0.901 0.829 0.900 1
Er2 Er 0.862 0.711 0.362 1
Er3 Er 0.685 0.364 0.185 1
Er4 Er 0.315 0.636 0.815 1
Er5 Er 0.500 0.000 0.500 1
Er6 Er 0.138 0.289 0.638 1
Er7 Er 0.099 0.171 0.100 1
Tm1 Tm 0.500 0.500 0.500 1
# DOS at the Fermi energy in states/eV per cell: 16.436
# Raw total energy in eV/f.u.: -49.03
# Space-group type: No. 10
# Energy above the most stable polymorph in this dataset in meV per atom: 0
# Magnetic moment in μB/f.u.: 0.0

=====

(2)
# Er2Co2Ni15 | Alexandria | PBE | relaxed
data_Er2Co2Ni15
_chemical_formula_sum 'Er2 Co2 Ni15'
_symmetry_space_group_name_H-M 'P 1'
_symmetry_Int_Tables_number 1
_cell_length_a 6.241
_cell_length_b 6.241
_cell_length_c 6.241
_cell_angle_alpha 82.78
_cell_angle_beta 82.78
_cell_angle_gamma 82.78
loop_
_symmetry_equiv_pos_as_xyz
'x,y,z'
loop_
_atom_site_label
_atom_site_type_symbol
_atom_site_fract_x
_atom_site_fract_y
_atom_site_fract_z
_atom_site_occupancy
Er1 Er 0.341 0.341 0.341 1
Er2 Er 0.659 0.659 0.659 1
Co1 Co 0.093 0.093 0.093 1
Co2 Co 0.907 0.907 0.907 1
Ni1 Ni 0.500 0.000 0.000 1
Ni2 Ni 0.000 0.000 0.500 1
Ni3 Ni 0.000 0.500 0.000 1
Ni4 Ni 0.000 0.703 0.297 1
Ni5 Ni 0.703 0.297 0.000 1
Ni6 Ni 0.297 0.000 0.703 1
Ni7 Ni 0.297 0.703 0.000 1
Ni8 Ni 0.703 0.000 0.297 1
Ni9 Ni 0.000 0.297 0.703 1
Ni10 Ni 0.154 0.656 0.656 1
Ni11 Ni 0.656 0.656 0.154 1
Ni12 Ni 0.656 0.154 0.656 1
Ni13 Ni 0.846 0.344 0.344 1
Ni14 Ni 0.344 0.344 0.846 1
Ni15 Ni 0.344 0.846 0.344 1
# DOS at the Fermi energy in states/eV per cell: 23.165
# Raw total energy in eV/f.u.: -113.68
# Space-group type: No. 166
# Magnetic moment in μB/f.u.: 9.7